Entry 1:
DFT (PBE) results for Os2RuW after structural relaxation.

The structure belongs to space group Pmma (No. 51); the cell edges are 4.396, 2.788 and 9.572 Å and the angles 90.00°, 90.00° and 90.00°. The distinct sites, in fractional coordinates, are Os at (0.250, 0.000, 0.082), Os at (0.250, 0.000, 0.587), Ru at (0.250, 0.500, 0.837) and W at (0.250, 0.500, 0.333).

The total energy comes out at -11.18 eV per atom. The offset from the most stable computed form comes out at 0.0 meV/atom.



Entry 2:
DFT (PBE) results for MgPt2W after structural relaxation.

The structure belongs to space group Pmmm (No. 47); the cell edges are 2.944, 4.539 and 4.814 Å and the angles 90.00°, 90.00° and 90.00°. The distinct sites, in fractional coordinates, are Mg at (0.000, 0.000, 0.000), Pt at (0.000, 0.500, 0.500), Pt at (0.500, 0.500, 0.000) and W at (0.500, 0.000, 0.500).

The total energy comes out at -6.61 eV per atom.



Entry 3:
DFT (PBE) results for CsBrN4 after structural relaxation.

The structure belongs to space group P-1 (No. 2); the cell edges are 5.109, 5.170 and 8.251 Å and the angles 107.41°, 107.09° and 91.46°. The distinct sites, in fractional coordinates, are Cs at (0.000, 0.000, 0.000), Br at (0.500, 0.500, 0.000), N at (0.001, 0.428, 0.435) and N at (0.433, 0.006, 0.435).

The total energy comes out at -6.53 eV per atom. Its uncorrected formation energy is -54 kJ/mol of atoms.



Entry 4:
DFT (PBE) results for LaGaGe after structural relaxation.

The structure belongs to space group P3m1 (No. 156); the cell edges are 4.2678, 4.2678 and 4.5523 Å and the angles 90.00°, 90.00° and 120.00°. The distinct sites, in fractional coordinates, are La at (0.0000, 0.0000, 0.0000), Ga at (0.6667, 0.3333, 0.5831) and Ge at (0.3333, 0.6667, 0.4328).

The total energy comes out at -4.96 eV per atom.



Entry 5:
DFT (PBE) results for CeZn6Au2 after structural relaxation.

The structure belongs to space group P4/mmm (No. 123); the cell edges are 4.203, 4.203 and 9.283 Å and the angles 90.00°, 90.00° and 90.00°. The distinct sites, in fractional coordinates, are Ce at (0.000, 0.000, 0.000), Zn at (0.000, 0.000, 0.500), Zn at (0.000, 0.500, 0.316), Zn at (0.500, 0.500, 0.500) and Au at (0.500, 0.500, 0.146).

The total energy comes out at -2.50 eV per atom. The offset from the most stable computed form comes out at 0.0 meV/atom.



Entry 6:
DFT (PBE) results for Rb4In3Au2 after structural relaxation.

The structure belongs to space group C2/m (No. 12); the cell edges are 18.927, 4.638 and 8.617 Å and the angles 90.00°, 106.17° and 90.00°. The distinct sites, in fractional coordinates, are Rb at (0.079, 0.000, 0.384), Rb at (0.231, 0.500, 0.186), In at (0.000, 0.500, 0.000), In at (0.098, 0.500, 0.763) and Au at (0.083, 0.000, 0.939).

The total energy comes out at -2.26 eV per atom.



Please write out number 6 again, unchanged.
DFT (PBE) results for Rb4In3Au2 after structural relaxation.

The structure belongs to space group C2/m (No. 12); the cell edges are 18.927, 4.638 and 8.617 Å and the angles 90.00°, 106.17° and 90.00°. The distinct sites, in fractional coordinates, are Rb at (0.079, 0.000, 0.384), Rb at (0.231, 0.500, 0.186), In at (0.000, 0.500, 0.000), In at (0.098, 0.500, 0.763) and Au at (0.083, 0.000, 0.939).

The total energy comes out at -2.26 eV per atom.